(1)
! TiAsSe2N (PBE-GGA, relaxed); values from VASP
&SYSTEM
  ibrav = 0, nat = 5, ntyp = 4
/
ATOMIC_SPECIES
Ti 47.87 Ti.upf
As 74.92 As.upf
Se 78.96 Se.upf
N 14.01 N.upf
ATOMIC_POSITIONS angstrom
Ti 0.000 0.000 0.000
As 0.000 0.000 2.502
Se 0.000 2.448 0.000
Se 2.448 0.000 0.000
N 2.448 2.448 2.502
CELL_PARAMETERS angstrom
4.896 0.000 0.000
0.000 4.896 0.000
0.000 0.000 5.004
! ρ	4.080	g cm⁻³
! uncorrected formation energy	0.853	eV per atom
! energy above the most stable polymorph in this dataset	767	meV per atom
! total magnetic moment	2.0	μB per formula unit



(2)
! TlAs2SeN (PBE-GGA, relaxed); values from VASP
&SYSTEM
  ibrav = 0, nat = 5, ntyp = 4
/
ATOMIC_SPECIES
Tl 204.38 Tl.upf
As 74.92 As.upf
Se 78.96 Se.upf
N 14.01 N.upf
ATOMIC_POSITIONS angstrom
Tl 0.000 0.000 0.000
As 0.000 2.677 0.000
As 2.677 0.000 0.000
Se 0.000 0.000 2.641
N 2.677 2.677 2.641
CELL_PARAMETERS angstrom
5.355 0.000 0.000
0.000 5.355 0.000
0.000 0.000 5.282
! ρ	4.903	g cm⁻³
! uncorrected formation energy	2.260	eV per atom
! energy above the most stable polymorph in this dataset	1484	meV per atom
! total magnetic moment	0.8	μB per formula unit



(3)
! TlAsSe2N (PBE-GGA, relaxed); values from VASP
&SYSTEM
  ibrav = 0, nat = 5, ntyp = 4
/
ATOMIC_SPECIES
Tl 204.38 Tl.upf
As 74.92 As.upf
Se 78.96 Se.upf
N 14.01 N.upf
ATOMIC_POSITIONS angstrom
Tl 0.000 0.000 0.000
As 2.718 2.718 2.043
Se 0.000 2.718 0.000
Se 2.718 0.000 0.000
N 0.000 0.000 2.043
CELL_PARAMETERS angstrom
5.437 0.000 0.000
0.000 5.437 0.000
0.000 0.000 4.087
! ρ	6.203	g cm⁻³
! uncorrected formation energy	1.449	eV per atom
! energy above the most stable polymorph in this dataset	840	meV per atom
! total magnetic moment	0.0	μB per formula unit



(4)
! TlAs2SeN (PBE-GGA, relaxed); values from VASP
&SYSTEM
  ibrav = 0, nat = 5, ntyp = 4
/
ATOMIC_SPECIES
Tl 204.38 Tl.upf
As 74.92 As.upf
Se 78.96 Se.upf
N 14.01 N.upf
ATOMIC_POSITIONS angstrom
Tl 0.000 0.000 0.000
As 0.000 2.241 2.386
As 2.241 0.000 2.386
Se 2.241 2.241 0.000
N 2.241 2.241 2.386
CELL_PARAMETERS angstrom
4.482 0.000 0.000
0.000 4.482 0.000
0.000 0.000 4.772
! ρ	7.747	g cm⁻³
! uncorrected formation energy	0.776	eV per atom
! energy above the most stable polymorph in this dataset	0	meV per atom
! total magnetic moment	0.0	μB per formula unit



(5)
! TlAsSeN2 (PBE-GGA, relaxed); values from VASP
&SYSTEM
  ibrav = 0, nat = 5, ntyp = 4
/
ATOMIC_SPECIES
Tl 204.38 Tl.upf
As 74.92 As.upf
Se 78.96 Se.upf
N 14.01 N.upf
ATOMIC_POSITIONS angstrom
Tl 0.000 0.000 0.000
As 2.153 2.153 2.969
Se 0.000 0.000 2.969
N 0.000 2.153 0.000
N 2.153 0.000 0.000
CELL_PARAMETERS angstrom
4.307 0.000 0.000
0.000 4.307 0.000
0.000 0.000 5.937
! ρ	5.824	g cm⁻³
! uncorrected formation energy	1.920	eV per atom
! energy above the most stable polymorph in this dataset	776	meV per atom
! total magnetic moment	2.3	μB per formula unit



(6)
! TlAsSe2N (PBE-GGA, relaxed); values from VASP
&SYSTEM
  ibrav = 0, nat = 5, ntyp = 4
/
ATOMIC_SPECIES
Tl 204.38 Tl.upf
As 74.92 As.upf
Se 78.96 Se.upf
N 14.01 N.upf
ATOMIC_POSITIONS angstrom
Tl 0.000 0.000 0.000
As 0.000 0.000 2.802
Se 0.000 2.723 0.000
Se 2.723 0.000 0.000
N 2.723 2.723 2.802
CELL_PARAMETERS angstrom
5.447 0.000 0.000
0.000 5.447 0.000
0.000 0.000 5.604
! ρ	4.507	g cm⁻³
! uncorrected formation energy	1.796	eV per atom
! energy above the most stable polymorph in this dataset	1187	meV per atom
! total magnetic moment	1.3	μB per formula unit



(7)
! TlAsSe2N (PBE-GGA, relaxed); values from VASP
&SYSTEM
  ibrav = 0, nat = 5, ntyp = 4
/
ATOMIC_SPECIES
Tl 204.38 Tl.upf
As 74.92 As.upf
Se 78.96 Se.upf
N 14.01 N.upf
ATOMIC_POSITIONS angstrom
Tl 0.000 0.000 0.000
As 2.683 2.683 1.849
Se 0.000 2.683 1.849
Se 2.683 0.000 1.849
N 2.683 2.683 0.000
CELL_PARAMETERS angstrom
5.366 0.000 0.000
0.000 5.366 0.000
0.000 0.000 3.698
! ρ	7.036	g cm⁻³
! uncorrected formation energy	0.609	eV per atom
! energy above the most stable polymorph in this dataset	0	meV per atom
! total magnetic moment	0.0	μB per formula unit



(8)
! TlAsSe2N (PBE-GGA, relaxed); values from VASP
&SYSTEM
  ibrav = 0, nat = 5, ntyp = 4
/
ATOMIC_SPECIES
Tl 204.38 Tl.upf
As 74.92 As.upf
Se 78.96 Se.upf
N 14.01 N.upf
ATOMIC_POSITIONS angstrom
Tl 0.000 0.000 0.000
As 2.380 2.380 0.000
Se 0.000 2.380 2.186
Se 2.380 0.000 2.186
N 2.380 2.380 2.186
CELL_PARAMETERS angstrom
4.761 0.000 0.000
0.000 4.761 0.000
0.000 0.000 4.372
! ρ	7.561	g cm⁻³
! uncorrected formation energy	0.773	eV per atom
! energy above the most stable polymorph in this dataset	164	meV per atom
! total magnetic moment	0.0	μB per formula unit



(9)
! TlAsSeN2 (PBE-GGA, relaxed); values from VASP
&SYSTEM
  ibrav = 0, nat = 5, ntyp = 4
/
ATOMIC_SPECIES
Tl 204.38 Tl.upf
As 74.92 As.upf
Se 78.96 Se.upf
N 14.01 N.upf
ATOMIC_POSITIONS angstrom
Tl 0.000 0.000 0.000
As 1.942 1.942 2.913
Se 1.942 1.942 0.000
N 0.000 1.942 2.913
N 1.942 0.000 2.913
CELL_PARAMETERS angstrom
3.884 0.000 0.000
0.000 3.884 0.000
0.000 0.000 5.826
! ρ	7.300	g cm⁻³
! uncorrected formation energy	1.144	eV per atom
! energy above the most stable polymorph in this dataset	0	meV per atom
! total magnetic moment	0.6	μB per formula unit



(10)
! Tm8As3Se4N (PBE-GGA, relaxed); values from VASP
&SYSTEM
  ibrav = 0, nat = 16, ntyp = 4
/
ATOMIC_SPECIES
Tm 168.93 Tm.upf
As 74.92 As.upf
Se 78.96 Se.upf
N 14.01 N.upf
ATOMIC_POSITIONS angstrom
Tm 0.000 0.000 4.842
Tm -1.811 -1.046 11.268
Tm 0.000 -2.092 8.391
Tm -1.811 1.046 8.391
Tm 1.811 -1.046 11.268
Tm 0.000 2.092 11.268
Tm 1.811 1.046 8.391
Tm 0.000 0.000 14.818
As -3.954 0.000 9.830
As -1.977 1.141 3.277
As 1.977 1.141 3.277
Se 0.000 0.000 0.000
Se -1.977 -1.141 6.553
Se -1.977 1.141 13.107
Se 0.000 2.283 6.553
N 0.000 0.000 9.830
CELL_PARAMETERS angstrom
3.954 2.283 6.553
-3.954 2.283 6.553
0.000 -4.566 6.553
! ρ	8.917	g cm⁻³
! uncorrected formation energy	-1.609	eV per atom
! total magnetic moment	0.0	μB per formula unit



(11)
! VAs2SeN (PBE-GGA, relaxed); values from VASP
&SYSTEM
  ibrav = 0, nat = 5, ntyp = 4
/
ATOMIC_SPECIES
V 50.94 V.upf
As 74.92 As.upf
Se 78.96 Se.upf
N 14.01 N.upf
ATOMIC_POSITIONS angstrom
V 0.000 0.000 0.000
As 0.000 2.107 2.206
As 2.107 0.000 2.206
Se 2.107 2.107 0.000
N 2.107 2.107 2.206
CELL_PARAMETERS angstrom
4.214 0.000 0.000
0.000 4.214 0.000
0.000 0.000 4.413
! ρ	6.225	g cm⁻³
! uncorrected formation energy	0.847	eV per atom
! energy above the most stable polymorph in this dataset	0	meV per atom
! total magnetic moment	0.0	μB per formula unit



(12)
! VAs2SeN (PBE-GGA, relaxed); values from VASP
&SYSTEM
  ibrav = 0, nat = 5, ntyp = 4
/
ATOMIC_SPECIES
V 50.94 V.upf
As 74.92 As.upf
Se 78.96 Se.upf
N 14.01 N.upf
ATOMIC_POSITIONS angstrom
V 0.000 0.000 0.000
As 0.000 2.376 0.000
As 2.376 0.000 0.000
Se 0.000 0.000 2.362
N 2.376 2.376 2.362
CELL_PARAMETERS angstrom
4.752 0.000 0.000
0.000 4.752 0.000
0.000 0.000 4.725
! ρ	4.572	g cm⁻³
! uncorrected formation energy	1.103	eV per atom
! energy above the most stable polymorph in this dataset	256	meV per atom
! total magnetic moment	2.1	μB per formula unit



(13)
! YAsSe2N (PBE-GGA, relaxed); values from VASP
&SYSTEM
  ibrav = 0, nat = 5, ntyp = 4
/
ATOMIC_SPECIES
Y 88.91 Y.upf
As 74.92 As.upf
Se 78.96 Se.upf
N 14.01 N.upf
ATOMIC_POSITIONS angstrom
Y 0.000 0.000 0.000
As 0.000 0.000 2.869
Se 0.000 2.735 0.000
Se 2.735 0.000 0.000
N 2.735 2.735 2.869
CELL_PARAMETERS angstrom
5.470 0.000 0.000
0.000 5.470 0.000
0.000 0.000 5.739
! ρ	3.247	g cm⁻³
! uncorrected formation energy	0.933	eV per atom
! energy above the most stable polymorph in this dataset	1022	meV per atom
! total magnetic moment	2.1	μB per formula unit



(14)
! YAs2SeN (PBE-GGA, relaxed); values from VASP
&SYSTEM
  ibrav = 0, nat = 5, ntyp = 4
/
ATOMIC_SPECIES
Y 88.91 Y.upf
As 74.92 As.upf
Se 78.96 Se.upf
N 14.01 N.upf
ATOMIC_POSITIONS angstrom
Y 0.000 0.000 0.000
As 0.000 2.203 2.317
As 2.203 0.000 2.317
Se 2.203 2.203 0.000
N 2.203 2.203 2.317
CELL_PARAMETERS angstrom
4.406 0.000 0.000
0.000 4.406 0.000
0.000 0.000 4.634
! ρ	6.124	g cm⁻³
! uncorrected formation energy	0.019	eV per atom
! energy above the most stable polymorph in this dataset	0	meV per atom
! total magnetic moment	0.0	μB per formula unit